First-principles (GGA-PBE) data for a relaxed CaPdSeBr2 crystal, as listed in the Alexandria database.

Computed properties:
Total magnetic moment, μB per cell: 0.0
Excess energy over the best structure of this formula in the dataset, eV/atom: 0.000

Unit cell a=5.068 b=5.068 c=5.198 alpha=90.00 beta=90.00 gamma=90.00
Fractional positions:
Ca: 0.000 0.000 0.000
Pd: 0.500 0.500 0.500
Se: 0.500 0.500 0.000
Br: 0.000 0.500 0.500
Br: 0.500 0.000 0.500

First-principles (GGA-PBE) data for a relaxed SrCa2PdBr crystal, as listed in the Alexandria database.

Computed properties:
Total magnetic moment, μB per cell: 0.0

Unit cell a=7.006 b=7.006 c=5.185 alpha=90.00 beta=90.00 gamma=90.00
Fractional positions:
Sr: 0.000 0.000 0.000
Ca: 0.000 0.500 0.000
Ca: 0.500 0.000 0.000
Pd: 0.000 0.000 0.500
Br: 0.500 0.500 0.500

First-principles (GGA-PBE) data for a relaxed CaTl2PdBr crystal, as listed in the Alexandria database.

Computed properties:
Total magnetic moment, μB per cell: 0.0

Unit cell a=6.318 b=6.318 c=4.976 alpha=90.00 beta=90.00 gamma=90.00
Fractional positions:
Ca: 0.000 0.000 0.000
Tl: 0.000 0.500 0.000
Tl: 0.500 0.000 0.000
Pd: 0.000 0.000 0.500
Br: 0.500 0.500 0.500

First-principles (GGA-PBE) data for a relaxed CaPm2Br6 crystal, as listed in the Alexandria database.

Computed properties:
Total magnetic moment, μB per cell: 1.9

Unit cell a=8.280 b=8.280 c=10.924 alpha=111.52 beta=111.52 gamma=28.41
Fractional positions:
Ca: 0.000 0.000 0.000
Pm: 0.318 0.318 0.640
Pm: 0.682 0.682 0.360
Br: 0.033 0.033 0.283
Br: 0.321 0.321 0.368
Br: 0.362 0.362 0.937
Br: 0.638 0.638 0.063
Br: 0.679 0.679 0.632
Br: 0.967 0.967 0.717

First-principles (GGA-PBE) data for a relaxed CaPmBr2 crystal, as listed in the Alexandria database.

Computed properties:
Total magnetic moment, μB per cell: 0.0

Unit cell a=10.456 b=10.456 c=10.456 alpha=21.17 beta=21.17 gamma=21.17
Fractional positions:
Ca: 0.000 0.000 0.000
Pm: 0.500 0.500 0.500
Br: 0.098 0.098 0.098
Br: 0.902 0.902 0.902

First-principles (GGA-PBE) data for a relaxed Ca2PmBr6 crystal, as listed in the Alexandria database.

Computed properties:
Total magnetic moment, μB per cell: 0.4

Unit cell a=8.233 b=8.233 c=10.832 alpha=107.46 beta=107.46 gamma=28.56
Fractional positions:
Ca: 0.169 0.169 0.331
Ca: 0.831 0.831 0.669
Pm: 0.500 0.500 0.000
Br: 0.147 0.147 0.055
Br: 0.195 0.195 0.613
Br: 0.468 0.468 0.715
Br: 0.532 0.532 0.285
Br: 0.805 0.805 0.387
Br: 0.853 0.853 0.945

Computed E (eV per atom) in order:
-3.572, -2.141, -2.523, -4.171, -3.707, -3.961